Compound: Li4Cd4Pb3
Source: the Alexandria database
Functional: PBE-GGA
Structure: optimized geometry

The density of states at the Fermi level comes out at 3.6 states/eV per cell. As for the total DFT energy (no corrections): -2.202 eV/atom.

The structure belongs to space group P-1 (No. 2); the cell edges are 3.2668, 4.8185 and 16.4219 Å and the angles 81.73°, 84.85° and 89.71°. The asymmetric unit holds Li at (0.0670, 0.0520, 0.3995), Li at (0.1947, 0.6823, 0.1425), Cd at (0.2413, 0.2407, 0.0202), Cd at (0.3876, 0.4012, 0.6864), Pb at (0.3303, 0.8454, 0.8006) and Pb at (0.5000, 0.5000, 0.5000).

Compound: Ca2CeAu4
Source: the Alexandria database
Functional: PBE-GGA
Structure: optimized geometry

The density of states at the Fermi level comes out at 21.4 states/eV per cell. As for the total DFT energy (no corrections): -3.832 eV/atom.

The structure belongs to space group I4/mmm (No. 139); the cell edges are 7.2769, 7.2769 and 6.9879 Å and the angles 90.00°, 90.00° and 90.00°. The asymmetric unit holds Ca at (0.0000, 0.5000, 0.0000), Ce at (0.0000, 0.0000, 0.0000) and Au at (0.2500, 0.2500, 0.2500).

Compound: Rb2SrScF6
Source: the Alexandria database
Functional: PBE-GGA
Structure: optimized geometry

The density of states at the Fermi level comes out at 14.2 states/eV per cell. As for the total DFT energy (no corrections): -5.369 eV/atom. Its formation energy from raw total energies is -3251 meV per atom.

The structure belongs to space group I4/mmm (No. 139); the cell edges are 6.5127, 6.5127 and 9.0813 Å and the angles 90.00°, 90.00° and 90.00°. The asymmetric unit holds Rb at (0.0000, 0.5000, 0.2500), Sr at (0.0000, 0.0000, 0.0000), Sc at (0.0000, 0.0000, 0.5000), F at (0.0000, 0.0000, 0.2696) and F at (0.2355, 0.2355, 0.5000).

no.,magnetic moment (μB/f.u.)
1,0.00
2,1.20
3,0.62